A geometry-optimized Mg3C structure, computed with PBE.

```
data_Mg3C
_cell_length_a 3.2027
_cell_length_b 3.2027
_cell_length_c 8.1291
_cell_angle_alpha 90.00
_cell_angle_beta 90.00
_cell_angle_gamma 120.00
_space_group_name_H-M_alt 'P 1'
_space_group_IT_number 1
_space_group_name_Hall 'P 1'
loop_
_atom_site_label
_atom_site_type_symbol
_atom_site_fract_x
_atom_site_fract_y
_atom_site_fract_z
Mg1 Mg 0.0000 0.0000 0.5000
Mg2 Mg 0.6667 0.3333 0.1622
Mg3 Mg 0.6667 0.3333 0.8378
C1 C 0.0000 0.0000 0.0000
```

As for the energy above the most stable polymorph in this dataset: 0.85 eV/f.u. Its calculated volume is 18.053 A^3/atom. Its crystal system is hexagonal. The calculation puts the formation energy at 0.549 eV per atom. The symmetry is P-6m2.

---

A geometry-optimized CsRb2Te4 structure, computed with PBE.

```
data_CsRb2Te4
_cell_length_a 10.3187
_cell_length_b 6.9246
_cell_length_c 10.1764
_cell_angle_alpha 109.89
_cell_angle_beta 104.42
_cell_angle_gamma 90.00
_space_group_name_H-M_alt 'P 1'
_space_group_IT_number 1
_space_group_name_Hall 'P 1'
loop_
_atom_site_label
_atom_site_type_symbol
_atom_site_fract_x
_atom_site_fract_y
_atom_site_fract_z
Cs1 Cs 0.7500 0.2614 0.0000
Cs2 Cs 0.2500 0.7386 0.0000
Rb1 Rb 0.1034 0.7094 0.4215
Rb2 Rb 0.3966 0.2880 0.5785
Rb3 Rb 0.8966 0.2906 0.5785
Rb4 Rb 0.6034 0.7120 0.4215
Te1 Te 0.8040 0.8814 0.2186
Te2 Te 0.6960 0.6628 0.7814
Te3 Te 0.1960 0.1186 0.7814
Te4 Te 0.3040 0.3372 0.2186
Te5 Te 0.0606 0.1230 0.2468
Te6 Te 0.4394 0.8762 0.7532
Te7 Te 0.9394 0.8770 0.7532
Te8 Te 0.5606 0.1238 0.2468
```

Its calculated volume is 47.095 A^3/atom. Its crystal system is monoclinic. The raw formation energy is -0.71 eV/atom. The symmetry is C2/c.

---

A geometry-optimized Mn3TlSn2S8 structure, computed with PBE.

```
data_Mn3TlSn2S8
_cell_length_a 7.3462
_cell_length_b 7.3462
_cell_length_c 7.9348
_cell_angle_alpha 62.42
_cell_angle_beta 62.42
_cell_angle_gamma 60.00
_space_group_name_H-M_alt 'P 1'
_space_group_IT_number 1
_space_group_name_Hall 'P 1'
loop_
_atom_site_label
_atom_site_type_symbol
_atom_site_fract_x
_atom_site_fract_y
_atom_site_fract_z
Mn1 Mn 0.4997 0.9971 0.0035
Mn2 Mn 0.9971 0.4997 0.0035
Mn3 Mn 0.4997 0.4997 0.0035
Tl1 Tl 0.8613 0.8613 0.4162
Sn1 Sn 0.1284 0.1284 0.6148
Sn2 Sn 0.5048 0.5048 0.4857
S1 S 0.2744 0.2744 0.1769
S2 S 0.7235 0.7235 0.8294
S3 S 0.2503 0.2503 0.7924
S4 S 0.7071 0.2503 0.7924
S5 S 0.2503 0.7071 0.7924
S6 S 0.7498 0.2966 0.2037
S7 S 0.2966 0.7498 0.2037
S8 S 0.7498 0.7498 0.2037
```

Its calculated volume is 22.388 A^3/atom. Its crystal system is trigonal. The raw formation energy is -0.41 eV/atom. The symmetry is R3m.

---

> Which of these has the highest calculated volume?

CsRb2Te4

---

> Look up the calculated volume of the second one.

47.095 A^3/atom

---

Copy entry 2 word for word.
A geometry-optimized CsRb2Te4 structure, computed with PBE.

```
data_CsRb2Te4
_cell_length_a 10.3187
_cell_length_b 6.9246
_cell_length_c 10.1764
_cell_angle_alpha 109.89
_cell_angle_beta 104.42
_cell_angle_gamma 90.00
_space_group_name_H-M_alt 'P 1'
_space_group_IT_number 1
_space_group_name_Hall 'P 1'
loop_
_atom_site_label
_atom_site_type_symbol
_atom_site_fract_x
_atom_site_fract_y
_atom_site_fract_z
Cs1 Cs 0.7500 0.2614 0.0000
Cs2 Cs 0.2500 0.7386 0.0000
Rb1 Rb 0.1034 0.7094 0.4215
Rb2 Rb 0.3966 0.2880 0.5785
Rb3 Rb 0.8966 0.2906 0.5785
Rb4 Rb 0.6034 0.7120 0.4215
Te1 Te 0.8040 0.8814 0.2186
Te2 Te 0.6960 0.6628 0.7814
Te3 Te 0.1960 0.1186 0.7814
Te4 Te 0.3040 0.3372 0.2186
Te5 Te 0.0606 0.1230 0.2468
Te6 Te 0.4394 0.8762 0.7532
Te7 Te 0.9394 0.8770 0.7532
Te8 Te 0.5606 0.1238 0.2468
```

Its calculated volume is 47.095 A^3/atom. Its crystal system is monoclinic. The raw formation energy is -0.71 eV/atom. The symmetry is C2/c.

---

> Look up the calculated volume of the first one.

18.053 A^3/atom